Entry from Alexandria via LeMat-Bulk: a relaxed BaBeCu2 crystal (PBE).

energy relative to the elements: 174.7 meV/atom
raw total energy: -3.29 eV/atom
space-group type: I4_1/amd

```
BaBeCu2
1.0
-2.465 2.465 7.569
2.465 -2.465 7.569
2.465 2.465 -7.569
Ba Be Cu
2 2 4
Direct
0.375 0.625 0.750
0.625 0.375 0.250
0.125 0.875 0.250
0.875 0.125 0.750
0.000 0.000 0.000
0.000 0.000 0.500
0.000 0.500 0.000
0.500 0.000 0.500
```